A relaxed structure of NbHg3Cl6, computed with GGA-PBE.

- Calculated density: 5.72 g/cm3
- Total energy: -2.940 eV/atom

a b c (Å): 5.973 5.973 8.527
angles (deg): 90.00 90.00 120.00
Fractional positions:
Hg 0.667 0.333 0.500
Hg 0.000 0.000 0.500
Hg 0.333 0.667 0.500
Cl 0.322 0.000 0.836
Cl 0.322 0.322 0.164
Cl 0.000 0.322 0.836
Cl 0.000 0.678 0.164
Cl 0.678 0.000 0.164
Cl 0.678 0.678 0.836
Nb 0.000 0.000 0.000

A relaxed structure of Tl2NiHgCl6, computed with GGA-PBE.

- Calculated density: 5.74 g/cm3
- Total energy: -2.869 eV/atom

a b c (Å): 7.118 7.118 7.118
angles (deg): 60.00 60.00 60.00
Fractional positions:
Cl 0.735 0.265 0.265
Cl 0.265 0.735 0.265
Cl 0.735 0.265 0.735
Cl 0.735 0.735 0.265
Cl 0.265 0.735 0.735
Cl 0.265 0.265 0.735
Ni 0.500 0.500 0.500
Tl 0.750 0.750 0.750
Tl 0.250 0.250 0.250
Hg 0.000 0.000 0.000